Entry 1:
Below is a relaxed structure of Tb6SmY8, with properties calculated at the PBE level.

symmetry = R-3
Fermi-level density of states = 1.543 states/eV per atom

Lattice parameters (Å, degrees): 9.0754 9.0754 8.6680 58.43 58.43 60.00
Atoms (fractional coordinates):
Tb1 0.4607 0.8910 0.8769
Tb2 0.1090 0.2287 0.1231
Tb3 0.2287 0.5393 0.1231
Tb4 0.7713 0.4607 0.8769
Tb5 0.8910 0.7713 0.8769
Tb6 0.5393 0.1090 0.1231
Sm1 0.0000 0.0000 0.0000
Y1 0.2547 0.2801 0.5756
Y2 0.7199 0.1105 0.4244
Y3 0.1105 0.7453 0.4244
Y4 0.5768 0.5768 0.2695
Y5 0.4232 0.4232 0.7305
Y6 0.8895 0.2547 0.5756
Y7 0.2801 0.8895 0.5756
Y8 0.7453 0.7199 0.4244

---

Entry 2:
Below is a relaxed structure of Tb4SmY10, with properties calculated at the PBE level.

symmetry = I4/m
Fermi-level density of states = 1.323 states/eV per atom

Lattice parameters (Å, degrees): 7.7130 9.4537 9.4537 80.42 65.92 65.92
Atoms (fractional coordinates):
Tb1 0.3996 0.8009 0.3999
Tb2 0.7995 0.6001 0.8009
Tb3 0.2005 0.3999 0.1991
Tb4 0.6004 0.1991 0.6001
Sm1 0.0000 0.0000 0.0000
Y1 0.2500 0.5000 0.5000
Y2 0.6498 0.3008 0.8987
Y3 0.0494 0.1013 0.3008
Y4 0.4516 0.8987 0.6992
Y5 0.8492 0.6992 0.1013
Y6 0.3502 0.6992 0.1013
Y7 0.7500 0.5000 0.5000
Y8 0.1508 0.3008 0.8987
Y9 0.5484 0.1013 0.3008
Y10 0.9506 0.8987 0.6992

---

Entry 3:
Below is a relaxed structure of Tb5Sm2Y12, with properties calculated at the PBE level.

energy relative to the lowest polymorph listed for this composition = 3 meV/atom
symmetry = P-1
Fermi-level density of states = 1.324 states/eV per atom

Lattice parameters (Å, degrees): 6.3037 13.6043 12.3955 138.35 81.68 114.26
Atoms (fractional coordinates):
Tb1 0.1980 0.3954 0.3869
Tb2 0.1854 0.4204 0.9188
Tb3 0.0000 0.0000 0.5000
Tb4 0.8146 0.5796 0.0812
Tb5 0.8020 0.6046 0.6131
Sm1 0.7454 0.9992 0.0300
Sm2 0.2546 0.0008 0.9700
Y1 0.8918 0.8534 0.1074
Y2 0.2370 0.6561 0.8566
Y3 0.5769 0.4296 0.7308
Y4 0.0494 0.7661 0.4818
Y5 0.5327 0.8415 0.6708
Y6 0.5781 0.1535 0.7240
Y7 0.4219 0.8465 0.2760
Y8 0.9506 0.2339 0.5182
Y9 0.4673 0.1585 0.3292
Y10 0.7630 0.3439 0.1434
Y11 0.4231 0.5704 0.2692
Y12 0.1082 0.1466 0.8926

---

Entry 4:
Below is a relaxed structure of Tb4Sm6Y, with properties calculated at the PBE level.

energy relative to the lowest polymorph listed for this composition = 35 meV/atom
symmetry = I-42m
Fermi-level density of states = 1.166 states/eV per atom

Lattice parameters (Å, degrees): 8.5417 8.5417 8.5417 79.12 126.47 126.47
Atoms (fractional coordinates):
Tb1 0.0000 0.5710 0.0550
Tb2 0.4840 0.4290 0.4290
Tb3 0.0000 0.0550 0.5710
Tb4 0.5160 0.9450 0.9450
Sm1 0.0000 0.7472 0.4053
Sm2 0.0000 0.4053 0.7472
Sm3 0.3419 0.5947 0.5947
Sm4 0.5000 0.5000 0.0000
Sm5 0.6581 0.2528 0.2528
Sm6 0.5000 0.0000 0.5000
Y1 0.0000 0.0000 0.0000

---

Entry 5:
Below is a relaxed structure of Tb3SmY5, with properties calculated at the PBE level.

energy relative to the lowest polymorph listed for this composition = 117 meV/atom
symmetry = C2/c
Fermi-level density of states = 1.632 states/eV per atom

Lattice parameters (Å, degrees): 6.7041 12.1410 11.3459 135.46 90.00 106.03
Atoms (fractional coordinates):
Tb1 0.0000 0.0000 0.0000
Tb2 0.3827 0.5241 0.3818
Tb3 0.0000 0.0000 0.5000
Tb4 0.6173 0.4759 0.6182
Tb5 0.1414 0.5241 0.8818
Tb6 0.8586 0.4759 0.1182
Sm1 0.7700 0.0000 0.7500
Sm2 0.2300 0.0000 0.2500
Y1 0.3180 0.0000 0.7500
Y2 0.7084 0.6506 0.0202
Y3 0.6040 0.2172 0.1696
Y4 0.2916 0.3494 0.9798
Y5 0.3868 0.7828 0.3304
Y6 0.6820 0.0000 0.2500
Y7 0.9422 0.6506 0.5202
Y8 0.0578 0.3494 0.4798
Y9 0.6132 0.2172 0.6696
Y10 0.3960 0.7828 0.8304

---

Entry 6:
Below is a relaxed structure of Tb2SmY, with properties calculated at the PBE level.

energy relative to the lowest polymorph listed for this composition = 14 meV/atom
symmetry = P4/mmm
Fermi-level density of states = 1.510 states/eV per atom

Lattice parameters (Å, degrees): 5.0675 5.0621 5.0621 90.00 90.00 90.00
Atoms (fractional coordinates):
Y1 0.5000 0.0000 0.0000
Tb1 0.0000 0.0000 0.5000
Tb2 0.0000 0.5000 0.0000
Sm1 0.5000 0.5000 0.5000

---

Entry 7:
Below is a relaxed structure of Tb4Sm3Y4, with properties calculated at the PBE level.

energy relative to the lowest polymorph listed for this composition = 27 meV/atom
symmetry = Immm
Fermi-level density of states = 1.396 states/eV per atom

Lattice parameters (Å, degrees): 3.5410 11.3380 10.9870 121.06 99.27 90.00
Atoms (fractional coordinates):
Tb1 0.6714 0.4258 0.3428
Tb2 0.3286 0.0830 0.6572
Tb3 0.3286 0.5742 0.6572
Tb4 0.6714 0.9170 0.3428
Sm1 0.8925 0.8925 0.7851
Sm2 0.1075 0.1075 0.2149
Sm3 0.0000 0.5000 0.0000
Y1 0.7815 0.2815 0.5629
Y2 0.2185 0.7185 0.4371
Y3 0.5000 0.7878 0.0000
Y4 0.5000 0.2122 0.0000

---

Entry 8:
Below is a relaxed structure of TbSm7Y12, with properties calculated at the PBE level.

energy relative to the lowest polymorph listed for this composition = 88 meV/atom
symmetry = R-3
Fermi-level density of states = 1.396 states/eV per atom

Lattice parameters (Å, degrees): 6.8350 10.9845 10.9845 64.18 78.03 101.97
Atoms (fractional coordinates):
Tb1 0.0000 0.0000 0.0000
Sm1 0.7894 0.1643 0.1407
Sm2 0.0699 0.8593 0.3050
Sm3 0.3749 0.3050 0.8357
Sm4 0.5000 0.0000 0.0000
Sm5 0.6251 0.6950 0.1643
Sm6 0.9301 0.1407 0.6950
Sm7 0.2106 0.8357 0.8593
Y1 0.7339 0.4780 0.0666
Y2 0.1995 0.9334 0.5446
Y3 0.2894 0.2149 0.2141
Y4 0.4965 0.7859 0.4290
Y5 0.7441 0.5446 0.5220
Y6 0.9255 0.4290 0.7851
Y7 0.0745 0.5710 0.2149
Y8 0.2559 0.4554 0.4780
Y9 0.5035 0.2141 0.5710
Y10 0.7106 0.7851 0.7859
Y11 0.8005 0.0666 0.4554
Y12 0.2661 0.5220 0.9334

---

Entry 9:
Below is a relaxed structure of Tb11Sm4Y9, with properties calculated at the PBE level.

symmetry = Cmmm
Fermi-level density of states = 1.298 states/eV per atom

Lattice parameters (Å, degrees): 3.6940 15.1574 15.1574 112.69 90.00 90.00
Atoms (fractional coordinates):
Tb1 0.0000 0.5914 0.9536
Tb2 0.0000 0.4086 0.0464
Tb3 0.0000 0.9536 0.5914
Tb4 0.0000 0.0464 0.4086
Tb5 0.0000 0.6340 0.3660
Tb6 0.0000 0.3660 0.6340
Tb7 0.0000 0.8414 0.1586
Tb8 0.0000 0.1586 0.8414
Tb9 0.0000 0.0000 0.0000
Tb10 0.0000 0.7086 0.7086
Tb11 0.0000 0.2914 0.2914
Sm1 0.5000 0.5534 0.7549
Sm2 0.5000 0.4466 0.2451
Sm3 0.5000 0.7549 0.5534
Sm4 0.5000 0.2451 0.4466
Y1 0.5000 0.6339 0.1623
Y2 0.5000 0.3661 0.8377
Y3 0.5000 0.1623 0.6339
Y4 0.5000 0.8377 0.3661
Y5 0.5000 0.7867 0.9326
Y6 0.5000 0.2133 0.0674
Y7 0.5000 0.9326 0.7867
Y8 0.5000 0.0674 0.2133
Y9 0.5000 0.5000 0.5000

---

Entry 10:
Below is a relaxed structure of Tb5Sm2Y12, with properties calculated at the PBE level.

energy relative to the lowest polymorph listed for this composition = 0 meV/atom
symmetry = C2/m
Fermi-level density of states = 1.485 states/eV per atom

Lattice parameters (Å, degrees): 9.3601 12.3525 8.6442 132.69 90.00 112.26
Atoms (fractional coordinates):
Tb1 0.2960 0.5919 0.6116
Tb2 0.2301 0.4602 0.8872
Tb3 0.0000 0.0000 0.5000
Tb4 0.7699 0.5398 0.1128
Tb5 0.7040 0.4081 0.3884
Sm1 0.6739 0.0000 0.0000
Sm2 0.3261 0.0000 0.0000
Y1 0.0773 0.1547 0.2815
Y2 0.0286 0.6994 0.9381
Y3 0.6707 0.6994 0.9381
Y4 0.1799 0.7415 0.4046
Y5 0.5616 0.7415 0.4046
Y6 0.5578 0.1155 0.7828
Y7 0.4422 0.8845 0.2172
Y8 0.8201 0.2585 0.5954
Y9 0.4384 0.2585 0.5954
Y10 0.9714 0.3006 0.0619
Y11 0.3293 0.3006 0.0619
Y12 0.9227 0.8453 0.7185

---

Entry 11:
Below is a relaxed structure of Tb3Sm7Y2, with properties calculated at the PBE level.

energy relative to the lowest polymorph listed for this composition = 0 meV/atom
symmetry = P2/m
Fermi-level density of states = 1.509 states/eV per atom

Lattice parameters (Å, degrees): 3.5570 6.4273 18.0798 75.33 90.00 90.00
Atoms (fractional coordinates):
Tb1 0.5000 0.5000 0.0000
Tb2 0.0000 0.1116 0.3406
Tb3 0.0000 0.8884 0.6594
Sm1 0.5000 0.2401 0.5029
Sm2 0.5000 0.7599 0.4971
Sm3 0.0000 0.5602 0.1663
Sm4 0.0000 0.0000 0.0000
Sm5 0.0000 0.4398 0.8337
Sm6 0.5000 0.9433 0.8306
Sm7 0.5000 0.0567 0.1694
Y1 0.5000 0.6135 0.3291
Y2 0.5000 0.3865 0.6709

---

Entry 12:
Below is a relaxed structure of Tb4Sm3Y4, with properties calculated at the PBE level.

energy relative to the lowest polymorph listed for this composition = 0 meV/atom
symmetry = Amm2
Fermi-level density of states = 1.596 states/eV per atom

Lattice parameters (Å, degrees): 5.7087 6.6889 10.6016 90.00 90.00 115.26
Atoms (fractional coordinates):
Tb1 0.7568 0.5135 0.7893
Tb2 0.7568 0.5135 0.2107
Tb3 0.8884 0.7768 0.5000
Tb4 0.9590 0.9181 0.0000
Sm1 0.4044 0.8088 0.2970
Sm2 0.4044 0.8088 0.7030
Sm3 0.2554 0.5108 0.0000
Y1 0.6179 0.2359 0.5000
Y2 0.5542 0.1085 0.0000
Y3 0.1006 0.2012 0.7074
Y4 0.1006 0.2012 0.2926

---

The records above give, respectively, theoretical density values of 6.12; 4.84; 5.79; 6.93; 5.98; 7.12; 6.45; 5.54; 6.68; 5.70; 7.09; 6.54 g/cm³.
The records above give, respectively, energy of formation from the pure elements values of 0.129; 0.742; 0.130; 0.418; 0.178; 0.020; 0.179; 0.327; 0.048; 0.126; 0.073; 0.152 eV per atom.
The records above give, respectively, magnetic moment values of 0.00; 0.00; 0.00; 0.00; 0.00; 0.00; 0.00; 0.00; 0.00; 0.00; 0.00; 0.00 μB/f.u..